[1]
A relaxed KNd2OsO8 crystal. Source: Alexandria, functional PBE.

The value obtained for the uncorrected formation energy is -1.952 eV per atom.

The structure belongs to space group P-1 (No. 2); the cell edges are 4.2735, 5.3586 and 7.2898 Å and the angles 90.02°, 106.41° and 90.03°. The inequivalent atoms are K at (0.0000, 0.0000, 0.0000), Nd at (0.3732, 0.4994, 0.7085), Os at (0.0000, 0.0000, 0.5000), O at (0.1726, 0.5002, 0.9975), O at (0.1921, 0.7327, 0.3930), O at (0.1927, 0.2639, 0.3910) and O at (0.3458, 0.0016, 0.7264).

=====

[2]
A relaxed K3Nd3OsO8 crystal. Source: Alexandria, functional PBE.

The value obtained for the uncorrected formation energy is -2.205 eV per atom.

The structure belongs to space group R-3m (No. 166, hexagonal axes); the cell edges are 7.0342, 7.0342 and 18.8725 Å and the angles 90.00°, 90.00° and 120.00°. The inequivalent atoms are K at (0.0000, 0.5000, 0.0000), Nd at (0.0000, 0.5000, 0.5000), Os at (0.0000, 0.0000, 0.5000), O at (0.0000, 0.0000, 0.2310) and O at (0.0368, 0.5184, 0.2247).

=====

[3]
A relaxed KNdOs2O8 crystal. Source: Alexandria, functional PBE.

The value obtained for the uncorrected formation energy is -1.513 eV per atom.

The structure belongs to space group P-3 (No. 147); the cell edges are 6.0769, 6.0769 and 7.7465 Å and the angles 90.00°, 90.00° and 120.00°. The inequivalent atoms are K at (0.0000, 0.0000, 0.0000), Nd at (0.0000, 0.0000, 0.5000), Os at (0.3333, 0.6667, 0.7779), O at (0.1686, 0.3429, 0.6945) and O at (0.3333, 0.6667, 0.0059).